(1)
An optimized crystal structure of K2ReBr. Source: the Alexandria database, functional PBE.

abc: 4.2927 4.2927 9.6273
angles: 78.28 78.28 57.47
Site moments in Bohr magnetons follow the coordinates.
Element x y z (fractional)
K1 0.5088 0.5088 0.4759  0.01
K2 0.9912 0.9912 0.0241  0.01
Re1 0.7500 0.7500 0.7500  3.23
Br1 0.2500 0.2500 0.2500  0.00

Output
Its space group is C2/m. Its offset from the most stable computed form is 893 meV per atom. As for the uncorrected formation energy: 2.87 eV per formula unit. Its total magnetization is 1.01 μB per atom. As for the crystal system: monoclinic.

(2)
An optimized crystal structure of CaAc2SiPd6. Source: the Alexandria database, functional PBE.

abc: 6.4789 6.4789 13.1859
angles: 75.78 75.78 60.00
Element x y z (fractional)
Ac1 0.2867 0.2867 0.1398
Ac2 0.8786 0.8786 0.3643
Ac3 0.7133 0.7133 0.8602
Ac4 0.1214 0.1214 0.6357
Pd1 0.3361 0.3361 0.4142
Pd2 0.7847 0.3475 0.0832
Pd3 0.7847 0.7847 0.0832
Pd4 0.9137 0.3361 0.4142
Pd5 0.2153 0.2153 0.9168
Pd6 0.6639 0.0863 0.5858
Pd7 0.3361 0.9137 0.4142
Pd8 0.0863 0.6639 0.5858
Pd9 0.6639 0.6639 0.5858
Pd10 0.2153 0.6525 0.9168
Pd11 0.3475 0.7847 0.0832
Pd12 0.6525 0.2153 0.9168
Si1 0.0000 0.0000 0.0000
Si2 0.5000 0.5000 0.5000
Ca1 0.5777 0.5777 0.2669
Ca2 0.4223 0.4223 0.7331

Output
Its space group is R-3m. As for the uncorrected formation energy: -7.02 eV per formula unit. Its total magnetization is 0.00 μB per atom. As for the crystal system: trigonal.

(3)
An optimized crystal structure of K4CeBi3Se8. Source: the Alexandria database, functional PBE.

abc: 8.6911 9.2064 8.6910
angles: 118.18 120.00 90.00
Site moments in Bohr magnetons follow the coordinates.
Element x y z (fractional)
K1 0.5000 0.0000 0.5000  0.00
K2 0.5000 0.0000 0.0000  0.00
K3 0.0000 0.0000 0.5000  0.00
K4 0.0000 0.0000 0.0000  0.00
Se1 0.7634 0.2888 0.5268  -0.01
Se2 0.2627 0.2883 0.5255  0.00
Se3 0.7634 0.2888 0.0253  -0.01
Se4 0.7373 0.7117 0.4745  0.00
Se5 0.2366 0.7112 0.9747  -0.01
Se6 0.2619 0.2888 0.0253  -0.01
Se7 0.7381 0.7112 0.9747  -0.01
Se8 0.2366 0.7112 0.4732  -0.01
Bi1 0.0000 0.5000 0.5000  0.01
Bi2 0.5000 0.5000 0.5000  0.01
Bi3 0.5000 0.5000 0.0000  0.01
Ce1 0.0000 0.5000 0.0000  0.88

Output
Its space group is R-3m. As for the uncorrected formation energy: -16.42 eV per formula unit. Its total magnetization is 0.06 μB per atom. As for the crystal system: trigonal.

(4)
An optimized crystal structure of SrBi2B4O10. Source: the Alexandria database, functional PBE.

abc: 6.8517 7.0102 9.9119
angles: 95.86 108.93 101.81
Element x y z (fractional)
B1 0.1998 0.6981 0.8226
B2 0.3981 0.2052 0.0746
B3 0.5897 0.2521 0.9073
B4 0.8002 0.3019 0.1774
B5 0.8457 0.6079 0.3681
B6 0.6019 0.7948 0.9254
B7 0.4103 0.7479 0.0927
B8 0.1543 0.3921 0.6319
O1 0.0775 0.1862 0.6045
O2 0.2178 0.7055 0.9791
O3 0.7897 0.8313 0.9047
O4 0.7407 0.5082 0.4463
O5 0.5874 0.2227 0.1847
O6 0.2103 0.1687 0.0953
O7 0.9381 0.1828 0.2522
O8 0.4172 0.7740 0.2327
O9 0.6017 0.7734 0.0650
O10 0.7822 0.2945 0.0209
O11 0.0619 0.8172 0.7478
O12 0.8870 0.5146 0.2508
O13 0.2593 0.4918 0.5537
O14 0.4126 0.7773 0.8153
O15 0.1130 0.4854 0.7492
O16 0.5828 0.2260 0.7673
O17 0.3599 0.1046 0.4135
O18 0.9225 0.8138 0.3955
O19 0.6401 0.8954 0.5865
O20 0.3983 0.2266 0.9350
Sr1 0.0338 0.8501 0.1666
Sr2 0.9662 0.1499 0.8334
Bi1 0.6961 0.0192 0.3995
Bi2 0.2679 0.3596 0.3359
Bi3 0.3039 0.9808 0.6005
Bi4 0.7321 0.6404 0.6641

Output
Its space group is P-1. As for the uncorrected formation energy: -37.96 eV per formula unit. Its total magnetization is 0.00 μB per atom. As for the crystal system: triclinic.